No. 1
# TiCd3

A geometry-optimized TiCd3 structure (PBE, the Alexandria database).

The space group is Pmm2 (No. 25) and the conventional cell measures 3.160, 4.871 and 5.356 Å, with angles of 90.00, 90.00 and 90.00 degrees. The inequivalent atoms are Ti at (0.000, 0.000, 0.000), Cd at (0.000, 0.500, 0.325), Cd at (0.500, 0.000, 0.505) and Cd at (0.500, 0.500, 0.844).

The calculation puts the size of the total moment at 1.18 μB/cell. As for the energy: -10.3 eV for the cell shown.

No. 2
# TiTl2Cd

A geometry-optimized TiTl2Cd structure (PBE, the Alexandria database).

The space group is Fm-3m (No. 225) and the conventional cell measures 7.231, 7.231 and 7.231 Å, with angles of 90.00, 90.00 and 90.00 degrees. The inequivalent atoms are Ti at (0.000, 0.000, 0.000), Tl at (0.250, 0.250, 0.250) and Cd at (0.000, 0.000, 0.500).

For the relative energy among the computed polymorphs, the calculation gives 157 meV per atom. The calculation puts the size of the total moment at 7.96 μB/cell.

no.,calculated volume (Å³ per atom)
1,20.61
2,23.63